# 1
RbUPb2Br8, optimized geometry, DFT PBE; V = 40.13 Å³/atom; calculated total energy = -3.91 eV/atom
1.0
-4.847 -0.085 -5.505
3.288 -5.389 -2.939
-5.429 -5.980 4.867
Br U Rb Pb
8 1 1 2
Direct
0.156 0.752 0.217
0.156 0.753 0.783
0.622 0.732 0.500
0.844 0.248 0.783
0.378 0.268 0.500
0.844 0.247 0.217
0.325 0.243 0.000
0.675 0.757 0.000
0.000 0.000 0.000
0.000 0.000 0.500
0.500 0.500 0.252
0.500 0.500 0.748



# 2
RbUPbBr6, optimized geometry, DFT PBE; V = 49.30 Å³/atom; calculated total energy = -4.09 eV/atom
1.0
10.991 0.000 0.000
0.000 10.488 0.000
-5.495 -5.244 7.699
Br U Rb Pb
12 2 2 2
Direct
0.413 0.079 0.252
0.587 0.327 0.748
0.839 0.079 0.252
0.596 0.346 0.192
0.813 0.063 0.625
0.413 0.673 0.252
0.587 0.921 0.748
0.839 0.673 0.252
0.404 0.654 0.808
0.187 0.937 0.375
0.161 0.327 0.748
0.161 0.921 0.748
0.000 0.000 0.500
0.500 0.000 0.500
0.815 0.565 0.630
0.185 0.435 0.370
0.500 0.500 0.000
0.500 0.000 0.000



# 3
RbVPb2Br8, optimized geometry, DFT PBE; V = 35.98 Å³/atom; calculated total energy = -3.54 eV/atom
1.0
-1.593 6.337 2.612
-2.302 -2.689 5.669
8.375 0.577 3.726
Br V Pb Rb
8 1 2 1
Direct
0.142 0.767 0.197
0.304 0.213 0.001
0.858 0.233 0.803
0.144 0.769 0.804
0.856 0.231 0.196
0.696 0.787 0.999
0.386 0.265 0.501
0.614 0.735 0.499
0.000 0.000 0.000
0.500 0.499 0.760
0.500 0.501 0.240
0.000 0.000 0.500



# 4
RbPb2WBr, optimized geometry, DFT PBE; V = 35.05 Å³/atom; energy relative to the lowest polymorph listed for this composition = 784 meV per atom
1.0
6.089 0.000 0.000
0.000 4.728 0.000
0.000 0.000 6.089
W Rb Pb Br
1 1 2 1
Direct
0.000 0.500 0.000
0.500 0.500 0.500
0.500 0.000 0.000
0.000 0.000 0.500
0.000 0.000 0.000



# 5
RbPb2WBr, optimized geometry, DFT PBE; V = 33.88 Å³/atom; energy relative to the lowest polymorph listed for this composition = 0 meV per atom
1.0
-1.481 3.876 3.448
-5.569 -0.804 -1.488
-0.515 -3.678 3.913
Pb Rb Br W
2 1 1 1
Direct
0.500 0.000 0.000
0.000 0.000 0.500
0.500 0.500 0.500
0.000 0.500 0.000
0.000 0.000 0.000



# 6
Rb2YPbBr6, optimized geometry, DFT PBE; V = 43.73 Å³/atom; calculated total energy = -3.65 eV/atom
1.0
8.212 0.000 0.000
0.000 8.212 0.000
4.106 4.106 6.485
Br Pb Rb Y
6 1 2 1
Direct
0.741 0.259 0.000
0.259 0.741 0.000
0.284 0.284 0.432
0.741 0.741 0.000
0.716 0.716 0.568
0.259 0.259 0.000
0.000 0.000 0.000
0.250 0.750 0.500
0.750 0.250 0.500
0.500 0.500 0.000



# 7
RbYPbBr6, optimized geometry, DFT PBE; V = 42.25 Å³/atom; calculated total energy = -3.92 eV/atom
1.0
-1.052 1.356 -7.488
-0.696 -7.141 2.746
-14.486 2.359 2.462
Br Pb Rb Y
12 2 2 2
Direct
0.023 0.382 0.639
0.359 0.977 0.639
0.977 0.618 0.361
0.641 0.618 0.139
0.977 0.359 0.139
0.618 0.641 0.639
0.023 0.641 0.861
0.382 0.359 0.361
0.618 0.977 0.861
0.641 0.023 0.361
0.382 0.023 0.139
0.359 0.382 0.861
0.333 0.667 0.250
0.667 0.333 0.750
0.000 0.000 0.500
0.000 0.000 0.000
0.667 0.333 0.250
0.333 0.667 0.750



# 8
RbZnPbBr2, optimized geometry, DFT PBE; V = 38.44 Å³/atom; calculated total energy = -1.97 eV/atom
1.0
5.324 0.000 0.000
0.000 6.781 0.000
0.000 0.000 5.324
Pb Br Rb Zn
1 2 1 1
Direct
0.500 0.500 0.500
0.000 0.000 0.500
0.500 0.000 0.000
0.000 0.500 0.000
0.000 0.000 0.000



# 9
RbZnPbBr5, optimized geometry, DFT PBE; V = 39.01 Å³/atom; calculated total energy = -2.91 eV/atom
1.0
8.154 0.078 -0.089
-2.306 7.822 -0.089
-2.542 -3.434 9.837
Br Rb Zn Pb
10 2 2 2
Direct
0.747 0.601 0.431
0.667 0.093 0.369
0.906 0.094 0.750
0.399 0.253 0.069
0.093 0.667 0.869
0.253 0.399 0.569
0.094 0.906 0.250
0.333 0.907 0.631
0.601 0.747 0.931
0.907 0.333 0.131
0.648 0.352 0.750
0.352 0.648 0.250
0.685 0.315 0.250
0.315 0.685 0.750
0.000 0.000 0.500
0.000 0.000 0.000



# 10
Rb2ZrPbBr6, optimized geometry, DFT PBE; V = 38.78 Å³/atom; calculated total energy = -3.62 eV/atom
1.0
-0.256 -5.155 -6.355
-2.660 -5.961 4.942
-6.926 -3.989 -1.758
Br Rb Zr Pb
6 2 1 1
Direct
0.262 0.738 0.000
0.262 0.262 0.475
0.738 0.738 0.000
0.262 0.262 0.000
0.738 0.262 0.000
0.738 0.738 0.525
0.250 0.750 0.500
0.750 0.250 0.500
0.500 0.500 0.000
0.000 0.000 0.000



# 11
RbZrPbBr2, optimized geometry, DFT PBE; V = 43.83 Å³/atom; calculated total energy = -2.68 eV/atom
1.0
-1.411 2.959 -4.866
1.424 -5.111 -3.520
-5.541 -1.868 0.471
Br Zr Rb Pb
2 1 1 1
Direct
0.000 0.000 0.500
0.500 0.000 0.000
0.500 0.500 0.500
0.000 0.000 0.000
0.000 0.500 0.000



# 12
RePbBr2, optimized geometry, DFT PBE; V = 29.31 Å³/atom; energy relative to the lowest polymorph listed for this composition = 0 meV per atom
1.0
-2.513 -1.433 -4.570
-1.328 -4.189 -3.153
-6.926 -2.282 1.355
Br Re Pb
2 1 1
Direct
0.901 0.901 0.086
0.744 0.744 0.664
0.288 0.288 0.375
0.566 0.566 0.375